1.
Li4Al2Zn, relaxed, DFT PBE; DFT formation energy = 1.38 eV/f.u.; space-group type = Cmmm; raw total energy = -2.148 eV per atom; V = 158 Å³/cell
1.0
2.235 -7.013 0.000
2.235 7.013 0.000
0.000 0.000 5.027
Li Al Zn
4 2 1
Direct
0.097 0.903 0.000
0.372 0.628 0.500
0.628 0.372 0.500
0.903 0.097 0.000
0.292 0.708 0.000
0.708 0.292 0.000
0.000 0.000 0.500

=====

2.
NdDy2N, relaxed, DFT PBE; E_form (uncorrected) = -0.18 eV/atom; space-group type = P4/mmm; raw total energy = -5.755 eV per atom; V = 91 Å³/cell
1.0
3.178 0.000 0.000
0.000 3.178 0.000
0.000 0.000 8.968
Nd Dy N
1 2 1
Direct
0.000 0.000 0.000
0.500 0.500 0.342
0.500 0.500 0.658
0.000 0.000 0.500

=====

3.
TlZnFe3, relaxed, DFT PBE; DFT formation energy = 5.05 eV/f.u.; space-group type = Pm-3m; raw total energy = -4.796 eV per atom; V = 91 Å³/cell
1.0
4.491 0.000 0.000
0.000 4.491 0.000
0.000 0.000 4.491
Tl Zn Fe
1 1 3
Direct
0.000 0.000 0.000
0.500 0.500 0.500
0.000 0.500 0.500
0.500 0.000 0.500
0.500 0.500 0.000

=====

4.
Pr6Mg3Cd, relaxed, DFT PBE; DFT formation energy = -0.98 eV/f.u.; space-group type = P2_1/m; raw total energy = -3.536 eV per atom; V = 621 Å³/cell
1.0
9.585 0.000 0.000
0.000 5.589 0.000
-4.098 0.000 11.590
Pr Mg Cd
12 6 2
Direct
0.042 0.250 0.415
0.165 0.750 0.176
0.243 0.250 0.001
0.345 0.750 0.797
0.357 0.250 0.342
0.421 0.250 0.634
0.579 0.750 0.366
0.643 0.750 0.658
0.655 0.250 0.203
0.757 0.750 0.999
0.835 0.250 0.824
0.958 0.750 0.585
0.038 0.750 0.876
0.112 0.250 0.715
0.267 0.750 0.480
0.733 0.250 0.520
0.888 0.750 0.285
0.962 0.250 0.124
0.457 0.750 0.081
0.543 0.250 0.919

=====

5.
Tl2Hg, relaxed, DFT PBE; DFT formation energy = -0.01 eV/f.u.; space-group type = Cm; raw total energy = -1.681 eV per atom; V = 177 Å³/cell
1.0
6.446 -1.894 0.000
6.446 1.894 0.000
-2.270 0.000 7.238
Tl Hg
4 2
Direct
0.000 0.000 0.000
0.006 0.006 0.511
0.324 0.324 0.674
0.677 0.677 0.324
0.341 0.341 0.171
0.672 0.672 0.853

=====

6.
Sb2TeRuPt, relaxed, DFT PBE; E_form (uncorrected) = 0.68 eV/atom; space-group type = P4/mmm; raw total energy = -4.662 eV per atom; V = 129 Å³/cell
1.0
4.994 0.000 0.000
0.000 4.994 0.000
0.000 0.000 5.189
Sb Te Ru Pt
2 1 1 1
Direct
0.000 0.500 0.000
0.500 0.000 0.000
0.000 0.000 0.500
0.000 0.000 0.000
0.500 0.500 0.500

=====

7.
SbBr3N, relaxed, DFT PBE; E_form (uncorrected) = 0.93 eV/atom; space-group type = Pm-3m; raw total energy = -2.559 eV per atom; V = 109 Å³/cell
1.0
4.771 0.000 0.000
0.000 4.771 0.000
0.000 0.000 4.771
Sb Br N
1 3 1
Direct
0.000 0.000 0.000
0.000 0.500 0.500
0.500 0.000 0.500
0.500 0.500 0.000
0.500 0.500 0.500

=====

8.
Sr2BBrN2, relaxed, DFT PBE; E_form (uncorrected) = -1.41 eV/atom; space-group type = R-3m; raw total energy = -6.142 eV per atom; V = 133 Å³/cell
1.0
2.072 1.196 8.968
-2.072 1.196 8.968
0.000 -2.392 8.968
Sr B Br N
2 1 1 2
Direct
0.248 0.248 0.248
0.752 0.752 0.752
0.500 0.500 0.500
0.000 0.000 0.000
0.450 0.450 0.450
0.550 0.550 0.550

=====

9.
Ca2SiSe, relaxed, DFT PBE; E_form (uncorrected) = -0.83 eV/atom; space-group type = C2/m; raw total energy = -4.055 eV per atom; V = 96 Å³/cell
1.0
3.386 -3.952 0.000
3.386 3.952 0.000
-0.024 0.000 3.574
Ca Si Se
2 1 1
Direct
0.000 0.500 0.000
0.500 0.000 0.000
0.000 0.000 0.500
0.500 0.500 0.500

=====

10.
HoZnAu2, relaxed, DFT PBE; DFT formation energy = -2.28 eV/f.u.; space-group type = P4/mmm; raw total energy = -3.672 eV per atom; V = 79 Å³/cell
1.0
3.494 0.000 0.000
0.000 3.494 0.000
0.000 0.000 6.503
Ho Zn Au
1 1 2
Direct
0.000 0.000 0.000
0.000 0.000 0.500
0.500 0.500 0.269
0.500 0.500 0.731

=====

11.
SrNi2H6, relaxed, DFT PBE; space-group type = Fd-3m; raw total energy = -3.944 eV per atom; V = 150 Å³/cell
1.0
0.000 4.213 4.213
4.213 0.000 4.213
4.213 4.213 0.000
Sr Ni H
2 4 12
Direct
0.125 0.125 0.125
0.875 0.875 0.875
0.000 0.500 0.500
0.500 0.000 0.500
0.500 0.500 0.000
0.500 0.500 0.500
0.171 0.171 0.579
0.171 0.579 0.171
0.171 0.579 0.579
0.421 0.421 0.829
0.421 0.829 0.421
0.421 0.829 0.829
0.579 0.171 0.171
0.579 0.171 0.579
0.579 0.579 0.171
0.829 0.421 0.421
0.829 0.421 0.829
0.829 0.829 0.421

=====

12.
TaSiOs2, relaxed, DFT PBE; E_form (uncorrected) = -0.34 eV/atom; space-group type = P4/mmm; raw total energy = -10.271 eV per atom; V = 58 Å³/cell
1.0
2.987 0.000 0.000
0.000 2.987 0.000
0.000 0.000 6.511
Ta Si Os
1 1 2
Direct
0.000 0.000 0.000
0.000 0.000 0.500
0.500 0.500 0.281
0.500 0.500 0.719

=====

13.
HoF3, relaxed, DFT PBE; E_form (uncorrected) = -4.02 eV/atom; space-group type = Imm2; raw total energy = -6.564 eV per atom; V = 52 Å³/cell
1.0
-1.726 3.173 2.381
1.726 -3.173 2.381
1.726 3.173 -2.381
Ho F
1 3
Direct
0.000 0.000 0.000
0.012 0.711 0.301
0.409 0.711 0.699
0.726 0.226 0.500

=====

14.
SrIr5, relaxed, DFT PBE; DFT formation energy = 1.71 eV/f.u.; space-group type = Amm2; raw total energy = -7.380 eV per atom; V = 107 Å³/cell
1.0
4.359 0.000 0.000
0.000 1.401 8.760
0.000 -1.401 8.760
Sr Ir
1 5
Direct
0.000 0.000 0.000
0.000 0.315 0.315
0.000 0.670 0.670
0.500 0.134 0.134
0.500 0.395 0.395
0.500 0.766 0.766

=====

15.
ErTaRe4, relaxed, DFT PBE; DFT formation energy = -0.63 eV/f.u.; space-group type = F-43m; raw total energy = -11.140 eV per atom; V = 105 Å³/cell
1.0
0.000 3.743 3.743
3.743 0.000 3.743
3.743 3.743 0.000
Er Ta Re
1 1 4
Direct
0.000 0.000 0.000
0.750 0.750 0.750
0.375 0.375 0.375
0.375 0.375 0.874
0.375 0.874 0.375
0.874 0.375 0.375

=====

16.
Tb2Ti3Si4, relaxed, DFT PBE; E_form (uncorrected) = -0.80 eV/atom; space-group type = P2_1/c; raw total energy = -6.874 eV per atom; V = 324 Å³/cell
1.0
7.068 0.000 0.000
0.000 7.053 0.000
-2.223 0.000 6.502
Tb Ti Si
4 6 8
Direct
0.189 0.168 0.067
0.189 0.332 0.567
0.811 0.668 0.433
0.811 0.832 0.933
0.257 0.676 0.250
0.257 0.824 0.750
0.500 0.000 0.500
0.500 0.500 0.000
0.743 0.176 0.250
0.743 0.324 0.750
0.086 0.540 0.872
0.086 0.960 0.372
0.497 0.125 0.869
0.497 0.375 0.369
0.503 0.625 0.631
0.503 0.875 0.131
0.914 0.040 0.628
0.914 0.460 0.128